A plane-wave DFT calculation with PBE was carried out for an optimized crystal structure of Sm2Ga7Au12.

Calculated values
* DFT formation energy: -0.38 eV/atom

Cell and atoms, written as POSCAR:
```
Sm2Ga7Au12
1.0
4.206 0.000 0.000
0.000 9.152 -5.284
0.000 0.000 10.568
Ga Au Sm
7 12 2
Direct
0.729 0.108 0.705
0.500 0.000 0.000
0.271 0.402 0.108
0.271 0.705 0.598
0.729 0.598 0.892
0.729 0.295 0.402
0.271 0.892 0.295
0.776 0.260 0.134
0.758 0.077 0.451
0.242 0.923 0.549
0.242 0.451 0.374
0.224 0.126 0.260
0.242 0.626 0.077
0.776 0.874 0.740
0.758 0.549 0.626
0.224 0.740 0.866
0.758 0.374 0.923
0.224 0.134 0.874
0.776 0.866 0.126
0.758 0.667 0.333
0.242 0.333 0.667
```

***

A plane-wave DFT calculation with PBE was carried out for an optimized crystal structure of CaTe2Ru.

Calculated values
* uncorrected formation energy: 0.9 eV/f.u.
* E above lowest polymorph: 91.3 kJ/mol of atoms

Cell and atoms, written as POSCAR:
```
CaTe2Ru
1.0
5.112 0.000 0.000
2.556 4.428 0.000
2.556 1.476 4.174
Ru Te Ca
1 2 1
Direct
0.750 0.750 0.750
0.250 0.250 0.250
0.000 0.000 0.000
0.500 0.500 0.500
```

***

A plane-wave DFT calculation with PBE was carried out for an optimized crystal structure of DyUGa4.

Calculated values
* DFT formation energy: -0.27 eV/atom

Cell and atoms, written as POSCAR:
```
DyUGa4
1.0
-3.091 2.559 3.786
-5.503 -0.215 -0.327
-2.868 -2.952 3.674
Ga Dy U
4 1 1
Direct
0.625 0.625 0.625
0.625 0.625 0.124
0.625 0.124 0.625
0.124 0.625 0.625
0.250 0.250 0.250
0.000 0.000 0.000
```

***

A plane-wave DFT calculation with PBE was carried out for an optimized crystal structure of CeNdDy2Er4.

Calculated values
* DFT formation energy: 0.05 eV/atom

Cell and atoms, written as POSCAR:
```
CeNdDy2Er4
1.0
-2.306 0.077 4.474
4.412 0.773 2.261
3.119 10.582 1.425
Er Ce Dy Nd
4 1 2 1
Direct
0.000 0.754 0.747
0.000 0.246 0.253
0.500 0.254 0.746
0.500 0.746 0.254
0.000 0.500 0.500
0.500 0.000 0.500
0.000 0.000 0.000
0.500 0.500 0.000
```

***

A plane-wave DFT calculation with PBE was carried out for an optimized crystal structure of Bi2Sb3Pd8.

Calculated values
* uncorrected formation energy: -2.2 eV/f.u.

Cell and atoms, written as POSCAR:
```
Bi2Sb3Pd8
1.0
-3.616 3.606 2.051
-2.689 -1.149 4.661
5.193 5.134 7.510
Bi Pd Sb
2 8 3
Direct
0.371 0.371 0.888
0.629 0.629 0.112
0.283 0.783 0.652
0.722 0.722 0.834
0.783 0.283 0.652
0.283 0.283 0.652
0.217 0.717 0.348
0.717 0.717 0.348
0.717 0.217 0.348
0.278 0.278 0.166
0.192 0.192 0.425
0.808 0.808 0.575
0.000 0.000 0.000
```

***

A plane-wave DFT calculation with PBE was carried out for an optimized crystal structure of Na2LaPb.

Calculated values
* DFT formation energy: 0.10 eV/atom

Cell and atoms, written as POSCAR:
```
Na2LaPb
1.0
-2.877 -0.650 -1.839
0.244 -1.417 -3.164
-1.547 -12.364 3.507
Na Pb La
2 1 1
Direct
0.908 0.908 0.277
0.092 0.092 0.723
0.500 0.500 0.500
0.000 0.000 0.000
```

***

A plane-wave DFT calculation with PBE was carried out for an optimized crystal structure of LiHoErTm.

Calculated values
* DFT formation energy: 0.17 eV/atom

Cell and atoms, written as POSCAR:
```
LiHoErTm
1.0
-5.295 -0.055 -1.108
-2.176 -4.217 -2.597
-3.280 -3.400 2.636
Ho Li Tm Er
1 1 1 1
Direct
0.750 0.750 0.750
0.000 0.000 0.000
0.500 0.500 0.500
0.250 0.250 0.250
```

***

A plane-wave DFT calculation with PBE was carried out for an optimized crystal structure of YPaMn2S8.

Calculated values
* uncorrected formation energy: -10.8 eV/f.u.

Cell and atoms, written as POSCAR:
```
YPaMn2S8
1.0
-1.741 5.905 -1.295
-5.768 -1.219 2.198
5.627 -0.487 5.493
Pa S Y Mn
1 8 1 2
Direct
0.000 0.000 0.000
0.321 0.953 0.347
0.736 0.852 0.147
0.047 0.974 0.653
0.411 0.295 0.147
0.148 0.589 0.853
0.705 0.264 0.853
0.605 0.679 0.653
0.026 0.395 0.347
0.750 0.250 0.500
0.250 0.750 0.500
0.500 0.500 0.000
```

***

Number 1: magnetic moment 0.0 μB/cell, E_tot -3.710 eV/atom. Number 2: magnetic moment 0.0 μB/cell, E_tot -4.156 eV/atom. Number 3: magnetic moment 3.2 μB/cell, E_tot -4.932 eV/atom. Number 4: magnetic moment 1.0 μB/cell, E_tot -4.722 eV/atom. Number 5: magnetic moment 0.0 μB/cell, E_tot -4.911 eV/atom. Number 6: magnetic moment 0.5 μB/cell, E_tot -2.714 eV/atom. Number 7: magnetic moment 0.0 μB/cell, E_tot -3.711 eV/atom. Number 8: magnetic moment 6.0 μB/cell, E_tot -6.514 eV/atom.